In2Sn5Pd12: relaxed, GGA-PBE.

Cell: 5.689 8.205 8.920 Å, 106.85 90.00 110.28°
Fractional coordinates of all 19 atoms:
Sn 0.687 0.375 0.358
Sn 0.345 0.689 0.151
Sn 0.313 0.625 0.642
Sn 0.000 0.000 0.500
Sn 0.655 0.311 0.849
Pd 0.593 0.687 0.404
Pd 0.094 0.687 0.404
Pd 0.512 0.023 0.345
Pd 0.945 0.378 0.107
Pd 0.407 0.313 0.596
Pd 0.488 0.977 0.655
Pd 0.902 0.804 0.709
Pd 0.567 0.622 0.893
Pd 0.433 0.378 0.107
Pd 0.098 0.196 0.291
Pd 0.055 0.622 0.893
Pd 0.906 0.313 0.596
In 0.246 0.000 0.000
In 0.754 0.000 0.000

Summary:
Uncorrected energy   -4.98 eV per atom
Space-group type   C2/m
Energy of formation   -0.358 eV per atom